DFT (PBE-GGA) results for a relaxed structure of Cr2SnBi.

Cell: 7.0563 7.0563 7.0563 Å, 90.00 90.00 90.00°
Space group Fm-3m (No. 225)
Symmetry-distinct sites (fractional):
Cr 0.2500 0.2500 0.2500
Sn 0.0000 0.0000 0.0000
Bi 0.0000 0.0000 0.5000

E_tot: -100.252 eV/cell
relative energy among the computed polymorphs: 0.000 eV/atom
E_form: 0.52 eV per atom

***

DFT (PBE-GGA) results for a relaxed structure of CrSnBi3.

Cell: 5.3114 5.3114 5.3114 Å, 90.00 90.00 90.00°
Space group Pm-3m (No. 221)
Symmetry-distinct sites (fractional):
Cr 0.0000 0.0000 0.0000
Sn 0.5000 0.5000 0.5000
Bi 0.0000 0.0000 0.5000

E_tot: -22.925 eV/cell
relative energy among the computed polymorphs: 0.000 eV/atom
E_form: 0.47 eV per atom

***

DFT (PBE-GGA) results for a relaxed structure of CrSn3Bi.

Cell: 5.1759 5.1759 5.1759 Å, 90.00 90.00 90.00°
Space group Pm-3m (No. 221)
Symmetry-distinct sites (fractional):
Cr 0.0000 0.0000 0.0000
Sn 0.0000 0.0000 0.5000
Bi 0.5000 0.5000 0.5000

E_tot: -24.057 eV/cell
relative energy among the computed polymorphs: 0.000 eV/atom
E_form: 0.29 eV per atom

***

DFT (PBE-GGA) results for a relaxed structure of CrSn2Bi2.

Cell: 7.2238 7.2238 5.2644 Å, 90.00 90.00 90.00°
Space group P4/mbm (No. 127)
Symmetry-distinct sites (fractional):
Cr 0.0000 0.0000 0.0000
Sn 0.1459 0.3541 0.0000
Bi 0.1690 0.6690 0.5000

E_tot: -47.369 eV/cell
E_form: 0.34 eV per atom

***

DFT (PBE-GGA) results for a relaxed structure of CrSnBi2.

Cell: 6.6107 6.6107 13.4347 Å, 90.00 90.00 90.00°
Space group I-42d (No. 122)
Symmetry-distinct sites (fractional):
Cr 0.0000 0.0000 0.0000
Sn 0.0000 0.0000 0.5000
Bi 0.2241 0.2500 0.1250

E_tot: -78.573 eV/cell
E_form: 0.44 eV per atom

***

DFT (PBE-GGA) results for a relaxed structure of Ta2CrSnBi.

Cell: 5.0810 5.0810 5.5330 Å, 90.00 90.00 90.00°
Space group P4/mmm (No. 123)
Symmetry-distinct sites (fractional):
Ta 0.0000 0.5000 0.0000
Cr 0.0000 0.0000 0.5000
Sn 0.5000 0.5000 0.0000
Bi 0.5000 0.5000 0.5000

E_tot: -29.072 eV/cell
E_form: 2.43 eV per atom

***

DFT (PBE-GGA) results for a relaxed structure of Tl2CrSnBi.

Cell: 5.3466 5.3466 5.2614 Å, 90.00 90.00 90.00°
Space group P4/mmm (No. 123)
Symmetry-distinct sites (fractional):
Tl 0.0000 0.5000 0.0000
Cr 0.0000 0.0000 0.0000
Sn 0.0000 0.0000 0.5000
Bi 0.5000 0.5000 0.5000

E_tot: -20.032 eV/cell
E_form: 0.44 eV per atom

***

DFT (PBE-GGA) results for a relaxed structure of TlCr2SnBi.

Cell: 5.3157 5.3157 5.9812 Å, 90.00 90.00 90.00°
Space group P4/mmm (No. 123)
Symmetry-distinct sites (fractional):
Tl 0.0000 0.0000 0.0000
Cr 0.0000 0.5000 0.5000
Sn 0.5000 0.5000 0.0000
Bi 0.5000 0.5000 0.5000

E_tot: -24.393 eV/cell
E_form: 1.02 eV per atom

***

DFT (PBE-GGA) results for a relaxed structure of SrCrBi2.

Cell: 8.5525 8.5525 6.7244 Å, 90.00 90.00 90.00°
Space group I-42d (No. 122)
Symmetry-distinct sites (fractional):
Sr 0.0000 0.0000 0.0000
Cr 0.0000 0.0000 0.5000
Bi 0.2005 0.2500 0.6250

E_tot: -77.503 eV/cell
relative energy among the computed polymorphs: 0.000 eV/atom
E_form: -0.08 eV per atom

***

DFT (PBE-GGA) results for a relaxed structure of Sr2CrBi.

Cell: 11.6851 11.6851 5.2457 Å, 90.00 90.00 90.00°
Space group I-42d (No. 122)
Symmetry-distinct sites (fractional):
Sr 0.0899 0.2500 0.1250
Cr 0.0000 0.0000 0.0000
Bi 0.0000 0.0000 0.5000

E_tot: -62.798 eV/cell
E_form: 0.29 eV per atom

***

DFT (PBE-GGA) results for a relaxed structure of SrCrBi2.

Cell: 7.7592 7.7592 7.7592 Å, 90.00 90.00 90.00°
Space group Fm-3m (No. 225)
Symmetry-distinct sites (fractional):
Sr 0.0000 0.0000 0.0000
Cr 0.0000 0.0000 0.5000
Bi 0.2500 0.2500 0.2500

E_tot: -76.166 eV/cell
relative energy among the computed polymorphs: 0.084 eV/atom
E_form: 0.01 eV per atom

***

DFT (PBE-GGA) results for a relaxed structure of SrZrCrBi2.

Cell: 5.9023 5.9023 5.2743 Å, 90.00 90.00 90.00°
Space group P4/mmm (No. 123)
Symmetry-distinct sites (fractional):
Sr 0.0000 0.0000 0.0000
Zr 0.0000 0.0000 0.5000
Cr 0.5000 0.5000 0.5000
Bi 0.0000 0.5000 0.0000

E_tot: -17.487 eV/cell
E_form: 2.03 eV per atom

***

DFT (PBE-GGA) results for a relaxed structure of TaCr2Bi.

Cell: 4.1130 4.1130 18.0717 Å, 90.00 90.00 90.00°
Space group I-42d (No. 122)
Symmetry-distinct sites (fractional):
Ta 0.0000 0.0000 0.0000
Cr 0.1627 0.2500 0.1250
Bi 0.0000 0.0000 0.5000

E_tot: -122.040 eV/cell
E_form: 1.12 eV per atom

***

DFT (PBE-GGA) results for a relaxed structure of TaCrBi3.

Cell: 5.2090 5.2090 5.2090 Å, 90.00 90.00 90.00°
Space group Pm-3m (No. 221)
Symmetry-distinct sites (fractional):
Ta 0.0000 0.0000 0.0000
Cr 0.5000 0.5000 0.5000
Bi 0.0000 0.5000 0.5000

E_tot: -27.073 eV/cell
relative energy among the computed polymorphs: 0.290 eV/atom
E_form: 1.21 eV per atom

***

DFT (PBE-GGA) results for a relaxed structure of TaCr3Bi.

Cell: 4.8078 4.8078 4.8078 Å, 90.00 90.00 90.00°
Space group Pm-3m (No. 221)
Symmetry-distinct sites (fractional):
Ta 0.0000 0.0000 0.0000
Cr 0.0000 0.0000 0.5000
Bi 0.5000 0.5000 0.5000

E_tot: -37.706 eV/cell
relative energy among the computed polymorphs: 0.000 eV/atom
E_form: 1.38 eV per atom

***

DFT (PBE-GGA) results for a relaxed structure of TaCrBi3.

Cell: 5.5004 5.5004 5.5004 Å, 90.00 90.00 90.00°
Space group Pm-3m (No. 221)
Symmetry-distinct sites (fractional):
Ta 0.0000 0.0000 0.0000
Cr 0.5000 0.5000 0.5000
Bi 0.0000 0.0000 0.5000

E_tot: -28.523 eV/cell
relative energy among the computed polymorphs: 0.000 eV/atom
E_form: 0.92 eV per atom

***

DFT (PBE-GGA) results for a relaxed structure of TaVCrBi2.

Cell: 5.4750 5.4750 4.5960 Å, 90.00 90.00 90.00°
Space group P4/mmm (No. 123)
Symmetry-distinct sites (fractional):
Ta 0.0000 0.0000 0.0000
V 0.0000 0.0000 0.5000
Cr 0.5000 0.5000 0.5000
Bi 0.0000 0.5000 0.0000

E_tot: -29.693 eV/cell
E_form: 1.73 eV per atom

***

DFT (PBE-GGA) results for a relaxed structure of CrTcBi3.

Cell: 5.3185 5.3185 5.3185 Å, 90.00 90.00 90.00°
Space group Pm-3m (No. 221)
Symmetry-distinct sites (fractional):
Cr 0.0000 0.0000 0.0000
Tc 0.5000 0.5000 0.5000
Bi 0.0000 0.5000 0.5000

E_tot: -27.137 eV/cell
relative energy among the computed polymorphs: 0.000 eV/atom
E_form: 0.90 eV per atom

***

DFT (PBE-GGA) results for a relaxed structure of CrTcBi2.

Cell: 6.9292 6.9292 6.9292 Å, 90.00 90.00 90.00°
Space group Fm-3m (No. 225)
Symmetry-distinct sites (fractional):
Cr 0.0000 0.0000 0.0000
Tc 0.0000 0.0000 0.5000
Bi 0.2500 0.2500 0.2500

E_tot: -101.351 eV/cell
relative energy among the computed polymorphs: 0.000 eV/atom
E_form: 0.60 eV per atom

***

DFT (PBE-GGA) results for a relaxed structure of CrTc2Bi.

Cell: 4.0323 4.0323 18.8153 Å, 90.00 90.00 90.00°
Space group I-42d (No. 122)
Symmetry-distinct sites (fractional):
Cr 0.0000 0.0000 0.0000
Tc 0.1694 0.2500 0.1250
Bi 0.0000 0.0000 0.5000

E_tot: -123.674 eV/cell
E_form: 0.83 eV per atom